DFT (PBE) results for an optimized crystal structure of NbPt3F.

Cell and atoms, written as CIF:
```
data_NbPt3F
_symmetry_space_group_name_H-M 'P m -3 m'
_symmetry_Int_Tables_number 221
_symmetry_space_group_name_Hall '-P 4 2 3'
_cell_length_a 4.878
_cell_length_b 4.878
_cell_length_c 4.878
_cell_angle_alpha 90.00
_cell_angle_beta 90.00
_cell_angle_gamma 90.00
loop_
_atom_site_label
_atom_site_type_symbol
_atom_site_fract_x
_atom_site_fract_y
_atom_site_fract_z
_atom_site_occupancy
Nb1 Nb 0.000 0.000 0.000 1
Pt1 Pt 0.000 0.000 0.500 1
F1 F 0.500 0.500 0.500 1
```

The excess energy over the best structure of this formula in the dataset comes out at 408.3 meV per atom. The calculation puts the uncorrected formation energy at 22.0 kcal/mol of atoms.